(1)
Computed, not measured: a geometry-optimized PaPtPbO6 structure at the PBE level of DFT.

Structure (POSCAR):
```
PaPtPbO6
1.0
5.519 0.000 0.000
-2.759 4.779 0.000
0.000 0.000 10.360
Pa Pt Pb O
2 2 2 12
Direct
0.333 0.667 0.250 Pa
0.667 0.333 0.750 Pa
0.333 0.667 0.750 Pt
0.667 0.333 0.250 Pt
0.000 0.000 0.000 Pb
0.000 0.000 0.500 Pb
0.020 0.367 0.640 O
0.020 0.653 0.860 O
0.347 0.367 0.860 O
0.347 0.980 0.640 O
0.367 0.020 0.140 O
0.367 0.347 0.360 O
0.633 0.653 0.640 O
0.633 0.980 0.860 O
0.653 0.020 0.360 O
0.653 0.633 0.140 O
0.980 0.347 0.140 O
0.980 0.633 0.360 O
```

Output
For the volume, the calculation gives 15.18 Å³ per atom. Its raw formation energy is -1762 meV per atom. The value obtained for the calculated total energy is -7.21 eV/atom.

(2)
Computed, not measured: a geometry-optimized PaPt2PbO6 structure at the PBE level of DFT.

Structure (POSCAR):
```
PaPt2PbO6
1.0
2.913 1.682 5.671
-2.913 1.682 5.671
0.000 -3.364 5.671
Pa Pt Pb O
1 2 1 6
Direct
0.000 0.000 0.000 Pa
0.260 0.260 0.260 Pt
0.740 0.740 0.740 Pt
0.500 0.500 0.500 Pb
0.063 0.389 0.771 O
0.229 0.937 0.611 O
0.389 0.771 0.063 O
0.611 0.229 0.937 O
0.771 0.063 0.389 O
0.937 0.611 0.229 O
```

Output
For the volume, the calculation gives 16.67 Å³ per atom. Its raw formation energy is -1227 meV per atom. The value obtained for the calculated total energy is -6.73 eV/atom.

(3)
Computed, not measured: a geometry-optimized PuPa2PbO8 structure at the PBE level of DFT.

Structure (POSCAR):
```
PuPa2PbO8
1.0
-2.757 2.757 5.453
2.757 -2.757 5.453
2.757 2.757 -5.453
Pu Pa Pb O
1 2 1 8
Direct
0.000 0.000 0.000 Pu
0.500 0.500 0.000 Pa
0.750 0.250 0.500 Pa
0.250 0.750 0.500 Pb
0.119 0.150 0.507 O
0.119 0.611 0.969 O
0.389 0.358 0.507 O
0.389 0.881 0.031 O
0.642 0.150 0.031 O
0.642 0.611 0.493 O
0.850 0.358 0.969 O
0.850 0.881 0.493 O
```

Output
For the volume, the calculation gives 13.81 Å³ per atom. Its raw formation energy is -3033 meV per atom. The value obtained for the calculated total energy is -9.42 eV/atom.

(4)
Computed, not measured: a geometry-optimized PuPaPbO6 structure at the PBE level of DFT.

Structure (POSCAR):
```
PuPaPbO6
1.0
5.977 0.000 0.000
-2.989 5.176 0.000
0.000 0.000 10.033
Pu Pa Pb O
2 2 2 12
Direct
0.333 0.667 0.250 Pu
0.667 0.333 0.750 Pu
0.333 0.667 0.750 Pa
0.667 0.333 0.250 Pa
0.000 0.000 0.000 Pb
0.000 0.000 0.500 Pb
0.005 0.371 0.144 O
0.005 0.635 0.356 O
0.365 0.371 0.356 O
0.365 0.995 0.144 O
0.371 0.005 0.644 O
0.371 0.365 0.856 O
0.629 0.635 0.144 O
0.629 0.995 0.356 O
0.635 0.005 0.856 O
0.635 0.629 0.644 O
0.995 0.365 0.644 O
0.995 0.629 0.856 O
```

Output
For the volume, the calculation gives 17.25 Å³ per atom. Its raw formation energy is -2667 meV per atom. The value obtained for the calculated total energy is -9.03 eV/atom.

(5)
Computed, not measured: a geometry-optimized PuPaPb2O8 structure at the PBE level of DFT.

Structure (POSCAR):
```
PuPaPb2O8
1.0
5.393 0.000 0.000
0.000 7.121 0.000
-0.120 0.000 5.405
Pu Pa Pb O
1 1 2 8
Direct
0.000 0.000 0.000 Pu
0.000 0.500 0.000 Pa
0.500 0.256 0.500 Pb
0.500 0.744 0.500 Pb
0.164 0.241 0.830 O
0.164 0.759 0.830 O
0.252 0.000 0.240 O
0.284 0.500 0.278 O
0.716 0.500 0.722 O
0.748 0.000 0.760 O
0.836 0.241 0.170 O
0.836 0.759 0.170 O
```

Output
For the volume, the calculation gives 17.30 Å³ per atom. Its raw formation energy is -2266 meV per atom. The value obtained for the calculated total energy is -8.17 eV/atom.

(6)
Computed, not measured: a geometry-optimized RbPaPbO4 structure at the PBE level of DFT.

Structure (POSCAR):
```
RbPaPbO4
1.0
-3.617 3.807 5.318
3.617 -3.807 5.318
3.617 3.807 -5.318
Rb Pa Pb O
2 2 2 8
Direct
0.373 0.123 0.250 Rb
0.627 0.877 0.750 Rb
0.000 0.000 0.500 Pa
0.000 0.500 0.000 Pa
0.000 0.500 0.500 Pb
0.500 0.500 0.000 Pb
0.176 0.744 0.431 O
0.187 0.256 0.931 O
0.197 0.217 0.520 O
0.197 0.677 0.980 O
0.803 0.323 0.020 O
0.803 0.783 0.480 O
0.813 0.744 0.069 O
0.824 0.256 0.569 O
```

Output
For the volume, the calculation gives 20.92 Å³ per atom. Its raw formation energy is -2459 meV per atom. The value obtained for the calculated total energy is -7.32 eV/atom.

(7)
Computed, not measured: a geometry-optimized Rb4PaPb3O12 structure at the PBE level of DFT.

Structure (POSCAR):
```
Rb4PaPb3O12
1.0
-4.387 4.387 4.387
4.387 -4.387 4.387
4.387 4.387 -4.387
Rb Pa Pb O
4 1 3 12
Direct
0.000 0.000 0.500 Rb
0.000 0.500 0.000 Rb
0.500 0.000 0.000 Rb
0.500 0.500 0.500 Rb
0.000 0.000 0.000 Pa
0.000 0.500 0.500 Pb
0.500 0.000 0.500 Pb
0.500 0.500 0.000 Pb
0.000 0.246 0.246 O
0.000 0.754 0.754 O
0.246 0.000 0.246 O
0.246 0.246 0.000 O
0.250 0.500 0.750 O
0.250 0.750 0.500 O
0.500 0.250 0.750 O
0.500 0.750 0.250 O
0.750 0.250 0.500 O
0.750 0.500 0.250 O
0.754 0.000 0.754 O
0.754 0.754 0.000 O
```

Output
For the volume, the calculation gives 16.89 Å³ per atom. Its raw formation energy is -1382 meV per atom. The value obtained for the calculated total energy is -5.58 eV/atom.

(8)
Computed, not measured: a geometry-optimized RbPa2PbO8 structure at the PBE level of DFT.

Structure (POSCAR):
```
RbPa2PbO8
1.0
5.184 0.000 0.000
0.000 7.626 0.000
-0.204 0.000 5.182
Rb Pa Pb O
1 2 1 8
Direct
0.000 0.000 0.000 Rb
0.500 0.267 0.500 Pa
0.500 0.733 0.500 Pa
0.000 0.500 0.000 Pb
0.215 0.296 0.213 O
0.215 0.704 0.213 O
0.315 0.500 0.684 O
0.355 0.000 0.643 O
0.645 0.000 0.357 O
0.685 0.500 0.316 O
0.785 0.296 0.787 O
0.785 0.704 0.787 O
```

Output
For the volume, the calculation gives 17.07 Å³ per atom. Its raw formation energy is -2358 meV per atom. The value obtained for the calculated total energy is -7.64 eV/atom.

(9)
Computed, not measured: a geometry-optimized RbPa2Pb2O7 structure at the PBE level of DFT.

Structure (POSCAR):
```
RbPa2Pb2O7
1.0
-2.151 2.278 12.316
2.151 -2.278 12.316
2.151 2.278 -12.316
Rb Pa Pb O
1 2 2 7
Direct
0.000 0.000 0.000 Rb
0.410 0.410 0.000 Pa
0.590 0.590 0.000 Pa
0.202 0.702 0.500 Pb
0.798 0.298 0.500 Pb
0.101 0.601 0.500 O
0.325 0.325 0.000 O
0.417 0.917 0.500 O
0.500 0.500 0.000 O
0.583 0.083 0.500 O
0.675 0.675 0.000 O
0.899 0.399 0.500 O
```

Output
For the volume, the calculation gives 20.12 Å³ per atom. Its raw formation energy is -2505 meV per atom. The value obtained for the calculated total energy is -7.68 eV/atom.

(10)
Computed, not measured: a geometry-optimized Rb3PaPb2O6 structure at the PBE level of DFT.

Structure (POSCAR):
```
Rb3PaPb2O6
1.0
6.348 0.000 0.000
-3.174 5.497 0.000
0.000 0.000 7.563
Rb Pa Pb O
3 1 2 6
Direct
0.000 0.000 0.000 Rb
0.333 0.667 0.645 Rb
0.667 0.333 0.355 Rb
0.000 0.000 0.500 Pa
0.333 0.667 0.179 Pb
0.667 0.333 0.821 Pb
0.162 0.324 0.330 O
0.162 0.838 0.330 O
0.324 0.162 0.670 O
0.676 0.838 0.330 O
0.838 0.162 0.670 O
0.838 0.676 0.670 O
```

Output
For the volume, the calculation gives 21.99 Å³ per atom. Its raw formation energy is -2039 meV per atom. The value obtained for the calculated total energy is -6.17 eV/atom.

(11)
Computed, not measured: a geometry-optimized Rb2Pa2PbO7 structure at the PBE level of DFT.

Structure (POSCAR):
```
Rb2Pa2PbO7
1.0
-2.277 11.455 2.233
2.277 -11.455 2.233
2.277 11.455 -2.233
Rb Pa Pb O
2 2 1 7
Direct
0.250 0.000 0.250 Rb
0.750 0.000 0.750 Rb
0.405 0.501 0.904 Pa
0.597 0.501 0.096 Pa
0.878 0.378 0.500 Pb
0.096 0.005 0.092 O
0.314 0.499 0.815 O
0.447 0.031 0.416 O
0.555 0.555 0.000 O
0.615 0.031 0.584 O
0.685 0.499 0.185 O
0.913 0.005 0.908 O
```

Output
For the volume, the calculation gives 19.41 Å³ per atom. Its raw formation energy is -2616 meV per atom. The value obtained for the calculated total energy is -7.56 eV/atom.

(12)
Computed, not measured: a geometry-optimized Rb4Pa3PbO12 structure at the PBE level of DFT.

Structure (POSCAR):
```
Rb4Pa3PbO12
1.0
-4.398 4.398 4.398
4.398 -4.398 4.398
4.398 4.398 -4.398
Rb Pa Pb O
4 3 1 12
Direct
0.000 0.000 0.500 Rb
0.000 0.500 0.000 Rb
0.500 0.000 0.000 Rb
0.500 0.500 0.500 Rb
0.000 0.500 0.500 Pa
0.500 0.000 0.500 Pa
0.500 0.500 0.000 Pa
0.000 0.000 0.000 Pb
0.000 0.257 0.257 O
0.000 0.743 0.743 O
0.250 0.500 0.750 O
0.250 0.750 0.500 O
0.257 0.000 0.257 O
0.257 0.257 0.000 O
0.500 0.250 0.750 O
0.500 0.750 0.250 O
0.743 0.000 0.743 O
0.743 0.743 0.000 O
0.750 0.250 0.500 O
0.750 0.500 0.250 O
```

Output
For the volume, the calculation gives 17.02 Å³ per atom. Its raw formation energy is -2558 meV per atom. The value obtained for the calculated total energy is -7.34 eV/atom.